# 1
The following is a GGA-PBE calculation of a relaxed structure of Ca2CuRu, from the Alexandria database.

Cell lengths 6.7889, 7.2790, 3.4134 Å; angles 90.00, 90.00, 90.00 degrees
Positions (direct):
1 Ca 0.2500 0.2500 0.0000
2 Ca 0.2500 0.7500 0.0000
3 Ca 0.7500 0.2500 0.0000
4 Ca 0.7500 0.7500 0.0000
5 Cu 0.0000 0.0000 0.5000
6 Cu 0.5000 0.5000 0.5000
7 Ru 0.0000 0.5000 0.5000
8 Ru 0.5000 0.0000 0.5000


# 2
The following is a GGA-PBE calculation of a relaxed structure of Er2Ga3Ni5, from the Alexandria database.

Summary:
Distance to the lowest polymorph of the same formula in meV per atom: 0

Cell lengths 8.0733, 8.0733, 8.0733 Å; angles 104.42, 89.09, 140.08 degrees
Positions (direct):
1 Er 0.1307 0.2334 0.3641
2 Er 0.3693 0.7334 0.1027
3 Er 0.6307 0.2666 0.8973
4 Er 0.8693 0.7666 0.6359
5 Ga 0.1421 0.8968 0.0389
6 Ga 0.2500 0.7500 0.5000
7 Ga 0.3579 0.3968 0.7547
8 Ga 0.6421 0.6032 0.2453
9 Ga 0.7500 0.2500 0.5000
10 Ga 0.8579 0.1032 0.9611
11 Ni 0.0357 0.7500 0.2857
12 Ni 0.1090 0.6628 0.7718
13 Ni 0.2500 0.2500 0.0000
14 Ni 0.3910 0.1628 0.5538
15 Ni 0.4643 0.7500 0.7143
16 Ni 0.5357 0.2500 0.2857
17 Ni 0.6090 0.8372 0.4462
18 Ni 0.7500 0.7500 0.0000
19 Ni 0.8910 0.3372 0.2282
20 Ni 0.9643 0.2500 0.7143


# 3
The following is a GGA-PBE calculation of a relaxed structure of TlCuOs2, from the Alexandria database.

Summary:
Distance to the lowest polymorph of the same formula in meV per atom: 361

Cell lengths 4.1705, 4.1705, 7.2568 Å; angles 90.00, 90.00, 90.00 degrees
Positions (direct):
1 Tl 0.0000 0.0000 0.0000
2 Tl 0.5000 0.5000 0.5000
3 Cu 0.0000 0.5000 0.7500
4 Cu 0.5000 0.0000 0.2500
5 Os 0.0000 0.0000 0.5000
6 Os 0.0000 0.5000 0.2500
7 Os 0.5000 0.0000 0.7500
8 Os 0.5000 0.5000 0.0000


| no. | ΔH_f (0 K) (kJ/mol of formula units) | E (eV per atom) | ρ (Mg/m³) |
| --- | --- | --- | --- |
| 1 | 86 | -4.122 | 4.819 |
| 2 | -474 | -5.203 | 8.861 |
| 3 | 334 | -6.366 | 17.061 |